Record 1
# CaBe2ClO

A relaxed CaBe2ClO crystal (GGA-PBEsol, Alexandria).

The calculation puts the electronic total energy at -0.1595 Ha/atom. The formation energy from raw total energies comes out at -4.3 eV/f.u. As for the calculated density: 2.28 g cm⁻³.

The structure belongs to space group P4/mmm (No. 123); the cell edges are 3.5189, 3.5189 and 6.4567 Å and the angles 90.00°, 90.00° and 90.00°. The asymmetric unit holds Ca at (0.0000, 0.0000, 0.0000), Be at (0.0000, 0.5000, 0.5000), Cl at (0.5000, 0.5000, 0.0000) and O at (0.5000, 0.5000, 0.5000).

---

Record 2
# Ca2BeReCl

A relaxed Ca2BeReCl crystal (GGA-PBEsol, Alexandria).

The calculation puts the electronic total energy at -0.1480 Ha/atom. The formation energy from raw total energies comes out at 3.5 eV/f.u. As for the calculated density: 4.93 g cm⁻³.

The structure belongs to space group P4/mmm (No. 123); the cell edges are 5.1185, 5.1185 and 3.9966 Å and the angles 90.00°, 90.00° and 90.00°. The asymmetric unit holds Ca at (0.0000, 0.5000, 0.0000), Be at (0.0000, 0.0000, 0.5000), Re at (0.5000, 0.5000, 0.5000) and Cl at (0.0000, 0.0000, 0.0000).

---

Record 3
# CaBeS2Cl

A relaxed CaBeS2Cl crystal (GGA-PBEsol, Alexandria).

The calculation puts the electronic total energy at -0.1632 Ha/atom. The formation energy from raw total energies comes out at -5.3 eV/f.u. As for the calculated density: 2.75 g cm⁻³.

The structure belongs to space group P4/mmm (No. 123); the cell edges are 4.2790, 4.2790 and 4.9027 Å and the angles 90.00°, 90.00° and 90.00°. The asymmetric unit holds Ca at (0.0000, 0.0000, 0.0000), Be at (0.5000, 0.5000, 0.5000), S at (0.0000, 0.5000, 0.5000) and Cl at (0.5000, 0.5000, 0.0000).

---

Record 4
# CaBeSeCl2

A relaxed CaBeSeCl2 crystal (GGA-PBEsol, Alexandria).

The calculation puts the electronic total energy at -0.1404 Ha/atom. The formation energy from raw total energies comes out at -5.1 eV/f.u. As for the calculated density: 1.64 g cm⁻³.

The structure belongs to space group P4/mmm (No. 123); the cell edges are 4.1472, 4.1472 and 11.7122 Å and the angles 90.00°, 90.00° and 90.00°. The asymmetric unit holds Ca at (0.0000, 0.0000, 0.0000), Be at (0.0000, 0.0000, 0.5000), Se at (0.5000, 0.5000, 0.0000) and Cl at (0.0000, 0.5000, 0.5000).

---

Record 5
# CaBe2Co

A relaxed CaBe2Co crystal (GGA-PBEsol, Alexandria).

The calculation puts the electronic total energy at -0.1555 Ha/atom. The calculation puts the calculated formation energy at 0.237 eV/atom. As for the calculated density: 3.51 g cm⁻³.

The structure belongs to space group Pm (No. 6); the cell edges are 2.7801, 3.4715 and 5.8719 Å and the angles 90.00°, 102.14° and 90.00°. The asymmetric unit holds Ca at (0.0000, 0.0000, 0.0000), Be at (0.2682, 0.0000, 0.4635), Be at (0.3514, 0.5000, 0.6726) and Co at (0.7289, 0.5000, 0.3948).

---

Record 6
# CaBe3Co

A relaxed CaBe3Co crystal (GGA-PBEsol, Alexandria).

The calculation puts the electronic total energy at -0.1574 Ha/atom. The calculation puts the calculated formation energy at 0.092 eV/atom. As for the calculated density: 3.06 g cm⁻³.

The structure belongs to space group Pm-3m (No. 221); the cell edges are 4.0894, 4.0894 and 4.0894 Å and the angles 90.00°, 90.00° and 90.00°. The asymmetric unit holds Ca at (0.0000, 0.0000, 0.0000), Be at (0.0000, 0.5000, 0.5000) and Co at (0.5000, 0.5000, 0.5000).

---

Record 7
# CaBeCo2

A relaxed CaBeCo2 crystal (GGA-PBEsol, Alexandria).

The calculation puts the electronic total energy at -0.1984 Ha/atom. The calculation puts the calculated formation energy at 0.004 eV/atom. As for the calculated density: 4.37 g cm⁻³.

The structure belongs to space group R-3m (No. 166, hexagonal axes); the cell edges are 3.8398, 3.8398 and 14.9030 Å and the angles 90.00°, 90.00° and 120.00°. The asymmetric unit holds Ca at (0.0000, 0.0000, 0.0000), Be at (0.0000, 0.0000, 0.5000) and Co at (0.0000, 0.0000, 0.1816).

---

Record 8
# CaBeCo2

A relaxed CaBeCo2 crystal (GGA-PBEsol, Alexandria).

The calculation puts the electronic total energy at -0.1776 Ha/atom. The calculation puts the calculated formation energy at 0.569 eV/atom. As for the calculated density: 5.31 g cm⁻³.

The structure belongs to space group P4/mmm (No. 123); the cell edges are 3.8194, 3.8194 and 3.5793 Å and the angles 90.00°, 90.00° and 90.00°. The asymmetric unit holds Ca at (0.0000, 0.0000, 0.0000), Be at (0.5000, 0.5000, 0.0000) and Co at (0.0000, 0.5000, 0.5000).

---

Record 9
# CaBeCr

A relaxed CaBeCr crystal (GGA-PBEsol, Alexandria).

The calculation puts the electronic total energy at -0.1438 Ha/atom. The calculation puts the calculated formation energy at 1.545 eV/atom. As for the calculated density: 2.33 g cm⁻³.

The structure belongs to space group F-43m (No. 216); the cell edges are 6.6012, 6.6012 and 6.6012 Å and the angles 90.00°, 90.00° and 90.00°. The asymmetric unit holds Ca at (0.0000, 0.0000, 0.0000), Be at (0.2500, 0.2500, 0.7500) and Cr at (0.2500, 0.2500, 0.2500).

---

Record 10
# CaBe2Cr

A relaxed CaBe2Cr crystal (GGA-PBEsol, Alexandria).

The calculation puts the electronic total energy at -0.1553 Ha/atom. The value obtained for the offset from the most stable computed form is 101 kJ/mol of formula units. The calculation puts the calculated formation energy at 0.868 eV/atom. As for the calculated density: 3.50 g cm⁻³.

The structure belongs to space group R-3m (No. 166, hexagonal axes); the cell edges are 2.6162, 2.6162 and 26.4394 Å and the angles 90.00°, 90.00° and 120.00°. The asymmetric unit holds Ca at (0.0000, 0.0000, 0.0000), Be at (0.0000, 0.0000, 0.2381) and Cr at (0.0000, 0.0000, 0.5000).

---

Record 11
# CaBe2Cr

A relaxed CaBe2Cr crystal (GGA-PBEsol, Alexandria).

The calculation puts the electronic total energy at -0.1611 Ha/atom. The value obtained for the offset from the most stable computed form is 40 kJ/mol of formula units. The calculation puts the calculated formation energy at 0.710 eV/atom. As for the calculated density: 3.50 g cm⁻³.

The structure belongs to space group Cmmm (No. 65); the cell edges are 6.3009, 6.3346 and 2.6144 Å and the angles 90.00°, 90.00° and 90.00°. The asymmetric unit holds Ca at (0.0000, 0.0000, 0.0000), Be at (0.2500, 0.2500, 0.5000) and Cr at (0.0000, 0.5000, 0.0000).

---

Record 12
# CaBe2Cr

A relaxed CaBe2Cr crystal (GGA-PBEsol, Alexandria).

The calculation puts the electronic total energy at -0.1649 Ha/atom. The value obtained for the offset from the most stable computed form is 0 kJ/mol of formula units. The calculation puts the calculated formation energy at 0.606 eV/atom. As for the calculated density: 3.53 g cm⁻³.

The structure belongs to space group P4mm (No. 99); the cell edges are 2.6718, 2.6718 and 7.2620 Å and the angles 90.00°, 90.00° and 90.00°. The asymmetric unit holds Ca at (0.0000, 0.0000, 0.0000), Be at (0.0000, 0.0000, 0.5400), Be at (0.5000, 0.5000, 0.6871) and Cr at (0.5000, 0.5000, 0.3371).

---

Record 13
# CaBe2Cr

A relaxed CaBe2Cr crystal (GGA-PBEsol, Alexandria).

The calculation puts the electronic total energy at -0.1637 Ha/atom. The value obtained for the offset from the most stable computed form is 13 kJ/mol of formula units. The calculation puts the calculated formation energy at 0.640 eV/atom. As for the calculated density: 2.98 g cm⁻³.

The structure belongs to space group Immm (No. 71); the cell edges are 4.3179, 4.5830 and 6.2004 Å and the angles 90.00°, 90.00° and 90.00°. The asymmetric unit holds Ca at (0.0000, 0.0000, 0.0000), Be at (0.0000, 0.5000, 0.2202) and Cr at (0.0000, 0.0000, 0.5000).

---

Record 14
# CaBe2CrPd

A relaxed CaBe2CrPd crystal (GGA-PBEsol, Alexandria).

The calculation puts the electronic total energy at -0.1677 Ha/atom. The calculation puts the calculated formation energy at 0.703 eV/atom. As for the calculated density: 3.69 g cm⁻³.

The structure belongs to space group P4/mmm (No. 123); the cell edges are 4.3722, 4.3722 and 5.1003 Å and the angles 90.00°, 90.00° and 90.00°. The asymmetric unit holds Ca at (0.0000, 0.0000, 0.0000), Be at (0.0000, 0.5000, 0.5000), Cr at (0.5000, 0.5000, 0.0000) and Pd at (0.0000, 0.0000, 0.5000).

---

Record 15
# CaBeCu2

A relaxed CaBeCu2 crystal (GGA-PBEsol, Alexandria).

The calculation puts the electronic total energy at -0.1377 Ha/atom. The calculation puts the calculated formation energy at -0.047 eV/atom. As for the calculated density: 4.41 g cm⁻³.

The structure belongs to space group R-3m (No. 166, hexagonal axes); the cell edges are 3.9409, 3.9409 and 14.8087 Å and the angles 90.00°, 90.00° and 120.00°. The asymmetric unit holds Ca at (0.0000, 0.0000, 0.0000), Be at (0.0000, 0.0000, 0.5000) and Cu at (0.0000, 0.0000, 0.1923).

---

Record 16
# CaBeCu2

A relaxed CaBeCu2 crystal (GGA-PBEsol, Alexandria).

The calculation puts the electronic total energy at -0.1244 Ha/atom. The calculation puts the calculated formation energy at 0.316 eV/atom. As for the calculated density: 4.91 g cm⁻³.

The structure belongs to space group I-4m2 (No. 119); the cell edges are 4.0997, 4.0997 and 7.0973 Å and the angles 90.00°, 90.00° and 90.00°. The asymmetric unit holds Ca at (0.0000, 0.0000, 0.0000), Be at (0.0000, 0.5000, 0.7500), Cu at (0.0000, 0.0000, 0.5000) and Cu at (0.0000, 0.5000, 0.2500).

---

Record 17
# Ca3BeCu

A relaxed Ca3BeCu crystal (GGA-PBEsol, Alexandria).

The calculation puts the electronic total energy at -0.0903 Ha/atom. The calculation puts the calculated formation energy at 0.489 eV/atom. As for the calculated density: 2.08 g cm⁻³.

The structure belongs to space group Pm-3m (No. 221); the cell edges are 5.3629, 5.3629 and 5.3629 Å and the angles 90.00°, 90.00° and 90.00°. The asymmetric unit holds Ca at (0.0000, 0.0000, 0.5000), Be at (0.5000, 0.5000, 0.5000) and Cu at (0.0000, 0.0000, 0.0000).

---

Record 18
# Ca4BeCu

A relaxed Ca4BeCu crystal (GGA-PBEsol, Alexandria).

The calculation puts the electronic total energy at -0.0684 Ha/atom. The calculation puts the calculated formation energy at 0.949 eV/atom. As for the calculated density: 2.16 g cm⁻³.

The structure belongs to space group F-43m (No. 216); the cell edges are 8.9489, 8.9489 and 8.9489 Å and the angles 90.00°, 90.00° and 90.00°. The asymmetric unit holds Ca at (0.1249, 0.1249, 0.1249), Be at (0.2500, 0.2500, 0.7500) and Cu at (0.0000, 0.0000, 0.5000).

---

Record 19
# Ca2MgBeCu

A relaxed Ca2MgBeCu crystal (GGA-PBEsol, Alexandria).

The calculation puts the electronic total energy at -0.0720 Ha/atom. The calculation puts the calculated formation energy at 0.903 eV/atom. As for the calculated density: 2.01 g cm⁻³.

The structure belongs to space group P4/mmm (No. 123); the cell edges are 5.7435, 5.7435 and 4.4341 Å and the angles 90.00°, 90.00° and 90.00°. The asymmetric unit holds Ca at (0.0000, 0.5000, 0.0000), Mg at (0.0000, 0.0000, 0.0000), Be at (0.5000, 0.5000, 0.5000) and Cu at (0.0000, 0.0000, 0.5000).

---

Record 20
# CaBeCuPt2

A relaxed CaBeCuPt2 crystal (GGA-PBEsol, Alexandria).

The calculation puts the electronic total energy at -0.1144 Ha/atom. The calculation puts the calculated formation energy at 1.765 eV/atom. As for the calculated density: 7.86 g cm⁻³.

The structure belongs to space group P4/mmm (No. 123); the cell edges are 4.8175, 4.8175 and 4.5781 Å and the angles 90.00°, 90.00° and 90.00°. The asymmetric unit holds Ca at (0.0000, 0.0000, 0.0000), Be at (0.0000, 0.0000, 0.5000), Cu at (0.5000, 0.5000, 0.5000) and Pt at (0.0000, 0.5000, 0.0000).